Entry w
# BeSeS2N | Alexandria | GGA-PBE | relaxed
# Total magnetic moment = 0.69 μB per formula unit
data_BeSeS2N
_symmetry_space_group_name_H-M 'P 1'
_symmetry_Int_Tables_number 1
_cell_length_a 4.844
_cell_length_b 4.844
_cell_length_c 3.624
_cell_angle_alpha 90.00
_cell_angle_beta 90.00
_cell_angle_gamma 90.00
loop_
_symmetry_equiv_pos_as_xyz
'x,y,z'
loop_
_atom_site_label
_atom_site_fract_x
_atom_site_fract_y
_atom_site_fract_z
Be1 0.000 0.000 0.000
Se1 0.500 0.500 0.500
S1 0.000 0.500 0.500
S2 0.500 0.000 0.500
N1 0.500 0.500 0.000


Entry x
# BeSeS2N | Alexandria | GGA-PBE | relaxed
# Total magnetic moment = 0.00 μB per formula unit
data_BeSeS2N
_symmetry_space_group_name_H-M 'P 1'
_symmetry_Int_Tables_number 1
_cell_length_a 4.666
_cell_length_b 4.666
_cell_length_c 3.210
_cell_angle_alpha 90.00
_cell_angle_beta 90.00
_cell_angle_gamma 90.00
loop_
_symmetry_equiv_pos_as_xyz
'x,y,z'
loop_
_atom_site_label
_atom_site_fract_x
_atom_site_fract_y
_atom_site_fract_z
Be1 0.000 0.000 0.000
Se1 0.500 0.500 0.500
S1 0.000 0.500 0.000
S2 0.500 0.000 0.000
N1 0.000 0.000 0.500


Which of them is least stable? Easy: entry w.


Entry w
# BeSnSN2 | Alexandria | GGA-PBE | relaxed
# Total magnetic moment = 1.15 μB per formula unit
data_BeSnSN2
_symmetry_space_group_name_H-M 'P 1'
_symmetry_Int_Tables_number 1
_cell_length_a 3.620
_cell_length_b 3.620
_cell_length_c 5.060
_cell_angle_alpha 90.00
_cell_angle_beta 90.00
_cell_angle_gamma 90.00
loop_
_symmetry_equiv_pos_as_xyz
'x,y,z'
loop_
_atom_site_label
_atom_site_fract_x
_atom_site_fract_y
_atom_site_fract_z
Be1 0.000 0.000 0.000
Sn1 0.500 0.500 0.500
S1 0.000 0.000 0.500
N1 0.000 0.500 0.000
N2 0.500 0.000 0.000


Entry x
# BeSnSN2 | Alexandria | GGA-PBE | relaxed
# Total magnetic moment = 2.11 μB per formula unit
data_BeSnSN2
_symmetry_space_group_name_H-M 'P 1'
_symmetry_Int_Tables_number 1
_cell_length_a 4.002
_cell_length_b 4.002
_cell_length_c 5.515
_cell_angle_alpha 90.00
_cell_angle_beta 90.00
_cell_angle_gamma 90.00
loop_
_symmetry_equiv_pos_as_xyz
'x,y,z'
loop_
_atom_site_label
_atom_site_fract_x
_atom_site_fract_y
_atom_site_fract_z
Be1 0.000 0.000 0.000
Sn1 0.500 0.500 0.500
S1 0.500 0.500 0.000
N1 0.000 0.500 0.500
N2 0.500 0.000 0.500


Which of them is least stable? Easy: entry x.


Entry w
# SrBeSN2 | Alexandria | GGA-PBE | relaxed
# Total magnetic moment = 2.01 μB per formula unit
data_SrBeSN2
_symmetry_space_group_name_H-M 'P 1'
_symmetry_Int_Tables_number 1
_cell_length_a 3.937
_cell_length_b 3.937
_cell_length_c 4.506
_cell_angle_alpha 90.00
_cell_angle_beta 90.00
_cell_angle_gamma 90.00
loop_
_symmetry_equiv_pos_as_xyz
'x,y,z'
loop_
_atom_site_label
_atom_site_fract_x
_atom_site_fract_y
_atom_site_fract_z
Sr1 0.000 0.000 0.000
Be1 0.500 0.500 0.500
S1 0.500 0.500 0.000
N1 0.000 0.500 0.500
N2 0.500 0.000 0.500


Entry x
# SrBeSN2 | Alexandria | GGA-PBE | relaxed
# Total magnetic moment = 4.47 μB per formula unit
data_SrBeSN2
_symmetry_space_group_name_H-M 'P 1'
_symmetry_Int_Tables_number 1
_cell_length_a 4.761
_cell_length_b 4.761
_cell_length_c 5.911
_cell_angle_alpha 90.00
_cell_angle_beta 90.00
_cell_angle_gamma 90.00
loop_
_symmetry_equiv_pos_as_xyz
'x,y,z'
loop_
_atom_site_label
_atom_site_fract_x
_atom_site_fract_y
_atom_site_fract_z
Sr1 0.000 0.000 0.000
Be1 0.500 0.500 0.500
S1 0.000 0.000 0.500
N1 0.000 0.500 0.000
N2 0.500 0.000 0.000


Which of them is least stable? Easy: entry x.


Entry w
# BeTe2SN | Alexandria | GGA-PBE | relaxed
# Total magnetic moment = 0.00 μB per formula unit
data_BeTe2SN
_symmetry_space_group_name_H-M 'P 1'
_symmetry_Int_Tables_number 1
_cell_length_a 5.474
_cell_length_b 5.474
_cell_length_c 3.355
_cell_angle_alpha 90.00
_cell_angle_beta 90.00
_cell_angle_gamma 90.00
loop_
_symmetry_equiv_pos_as_xyz
'x,y,z'
loop_
_atom_site_label
_atom_site_fract_x
_atom_site_fract_y
_atom_site_fract_z
Be1 0.000 0.000 0.000
Te1 0.000 0.500 0.500
Te2 0.500 0.000 0.500
S1 0.500 0.500 0.500
N1 0.500 0.500 0.000


Entry x
# BeTe2SN | Alexandria | GGA-PBE | relaxed
# Total magnetic moment = 0.00 μB per formula unit
data_BeTe2SN
_symmetry_space_group_name_H-M 'P 1'
_symmetry_Int_Tables_number 1
_cell_length_a 5.365
_cell_length_b 5.365
_cell_length_c 3.134
_cell_angle_alpha 90.00
_cell_angle_beta 90.00
_cell_angle_gamma 90.00
loop_
_symmetry_equiv_pos_as_xyz
'x,y,z'
loop_
_atom_site_label
_atom_site_fract_x
_atom_site_fract_y
_atom_site_fract_z
Be1 0.000 0.000 0.000
Te1 0.000 0.500 0.000
Te2 0.500 0.000 0.000
S1 0.500 0.500 0.500
N1 0.000 0.000 0.500


Which of them is least stable? Easy: entry w.


Entry w
# BeTeS2N | Alexandria | GGA-PBE | relaxed
# Total magnetic moment = 1.19 μB per formula unit
data_BeTeS2N
_symmetry_space_group_name_H-M 'P 1'
_symmetry_Int_Tables_number 1
_cell_length_a 4.773
_cell_length_b 4.773
_cell_length_c 3.336
_cell_angle_alpha 90.00
_cell_angle_beta 90.00
_cell_angle_gamma 90.00
loop_
_symmetry_equiv_pos_as_xyz
'x,y,z'
loop_
_atom_site_label
_atom_site_fract_x
_atom_site_fract_y
_atom_site_fract_z
Be1 0.000 0.000 0.000
Te1 0.500 0.500 0.500
S1 0.000 0.500 0.000
S2 0.500 0.000 0.000
N1 0.000 0.000 0.500


Entry x
# BeTeS2N | Alexandria | GGA-PBE | relaxed
# Total magnetic moment = 0.00 μB per formula unit
data_BeTeS2N
_symmetry_space_group_name_H-M 'P 1'
_symmetry_Int_Tables_number 1
_cell_length_a 5.066
_cell_length_b 5.066
_cell_length_c 3.866
_cell_angle_alpha 90.00
_cell_angle_beta 90.00
_cell_angle_gamma 90.00
loop_
_symmetry_equiv_pos_as_xyz
'x,y,z'
loop_
_atom_site_label
_atom_site_fract_x
_atom_site_fract_y
_atom_site_fract_z
Be1 0.000 0.000 0.000
Te1 0.500 0.500 0.500
S1 0.000 0.500 0.500
S2 0.500 0.000 0.500
N1 0.500 0.500 0.000


Which of them is least stable? Easy: entry x.


Entry w
# BeTlS2N | Alexandria | GGA-PBE | relaxed
# Total magnetic moment = 2.06 μB per formula unit
data_BeTlS2N
_symmetry_space_group_name_H-M 'P 1'
_symmetry_Int_Tables_number 1
_cell_length_a 5.210
_cell_length_b 5.210
_cell_length_c 4.226
_cell_angle_alpha 90.00
_cell_angle_beta 90.00
_cell_angle_gamma 90.00
loop_
_symmetry_equiv_pos_as_xyz
'x,y,z'
loop_
_atom_site_label
_atom_site_fract_x
_atom_site_fract_y
_atom_site_fract_z
Be1 0.000 0.000 0.000
Tl1 0.500 0.500 0.500
S1 0.000 0.500 0.500
S2 0.500 0.000 0.500
N1 0.500 0.500 0.000


Entry x
# BeTlS2N | Alexandria | GGA-PBE | relaxed
# Total magnetic moment = 0.00 μB per formula unit
data_BeTlS2N
_symmetry_space_group_name_H-M 'P 1'
_symmetry_Int_Tables_number 1
_cell_length_a 5.010
_cell_length_b 5.010
_cell_length_c 3.217
_cell_angle_alpha 90.00
_cell_angle_beta 90.00
_cell_angle_gamma 90.00
loop_
_symmetry_equiv_pos_as_xyz
'x,y,z'
loop_
_atom_site_label
_atom_site_fract_x
_atom_site_fract_y
_atom_site_fract_z
Be1 0.000 0.000 0.000
Tl1 0.500 0.500 0.500
S1 0.000 0.500 0.000
S2 0.500 0.000 0.000
N1 0.000 0.000 0.500


Which of them is least stable? Easy: entry w.


Entry w
# BeVSN2 | Alexandria | GGA-PBE | relaxed
# Total magnetic moment = 0.26 μB per formula unit
data_BeVSN2
_symmetry_space_group_name_H-M 'P 1'
_symmetry_Int_Tables_number 1
_cell_length_a 3.631
_cell_length_b 3.631
_cell_length_c 5.150
_cell_angle_alpha 90.00
_cell_angle_beta 90.00
_cell_angle_gamma 90.00
loop_
_symmetry_equiv_pos_as_xyz
'x,y,z'
loop_
_atom_site_label
_atom_site_fract_x
_atom_site_fract_y
_atom_site_fract_z
Be1 0.000 0.000 0.000
V1 0.500 0.500 0.500
S1 0.500 0.500 0.000
N1 0.000 0.500 0.500
N2 0.500 0.000 0.500


Entry x
# BeVSN2 | Alexandria | GGA-PBE | relaxed
# Total magnetic moment = 0.00 μB per formula unit
data_BeVSN2
_symmetry_space_group_name_H-M 'P 1'
_symmetry_Int_Tables_number 1
_cell_length_a 3.381
_cell_length_b 3.381
_cell_length_c 4.618
_cell_angle_alpha 90.00
_cell_angle_beta 90.00
_cell_angle_gamma 90.00
loop_
_symmetry_equiv_pos_as_xyz
'x,y,z'
loop_
_atom_site_label
_atom_site_fract_x
_atom_site_fract_y
_atom_site_fract_z
Be1 0.000 0.000 0.000
V1 0.500 0.500 0.500
S1 0.000 0.000 0.500
N1 0.000 0.500 0.000
N2 0.500 0.000 0.000


Which of them is least stable? Easy: entry x.


Entry w
# BeWSN2 | Alexandria | GGA-PBE | relaxed
# Total magnetic moment = 0.00 μB per formula unit
data_BeWSN2
_symmetry_space_group_name_H-M 'P 1'
_symmetry_Int_Tables_number 1
_cell_length_a 3.836
_cell_length_b 3.836
_cell_length_c 5.067
_cell_angle_alpha 90.00
_cell_angle_beta 90.00
_cell_angle_gamma 90.00
loop_
_symmetry_equiv_pos_as_xyz
'x,y,z'
loop_
_atom_site_label
_atom_site_fract_x
_atom_site_fract_y
_atom_site_fract_z
Be1 0.000 0.000 0.000
W1 0.500 0.500 0.500
S1 0.500 0.500 0.000
N1 0.000 0.500 0.500
N2 0.500 0.000 0.500


Entry x
# BeWSN2 | Alexandria | GGA-PBE | relaxed
# Total magnetic moment = 0.00 μB per formula unit
data_BeWSN2
_symmetry_space_group_name_H-M 'P 1'
_symmetry_Int_Tables_number 1
_cell_length_a 3.480
_cell_length_b 3.480
_cell_length_c 4.331
_cell_angle_alpha 90.00
_cell_angle_beta 90.00
_cell_angle_gamma 90.00
loop_
_symmetry_equiv_pos_as_xyz
'x,y,z'
loop_
_atom_site_label
_atom_site_fract_x
_atom_site_fract_y
_atom_site_fract_z
Be1 0.000 0.000 0.000
W1 0.500 0.500 0.500
S1 0.000 0.000 0.500
N1 0.000 0.500 0.000
N2 0.500 0.000 0.000


Which of them is least stable? Easy: entry x.


Entry w
# YBeS2N | Alexandria | GGA-PBE | relaxed
# Total magnetic moment = 1.03 μB per formula unit
data_YBeS2N
_symmetry_space_group_name_H-M 'P 1'
_symmetry_Int_Tables_number 1
_cell_length_a 4.665
_cell_length_b 4.665
_cell_length_c 3.430
_cell_angle_alpha 90.00
_cell_angle_beta 90.00
_cell_angle_gamma 90.00
loop_
_symmetry_equiv_pos_as_xyz
'x,y,z'
loop_
_atom_site_label
_atom_site_fract_x
_atom_site_fract_y
_atom_site_fract_z
Y1 0.000 0.000 0.000
Be1 0.500 0.500 0.500
S1 0.000 0.500 0.500
S2 0.500 0.000 0.500
N1 0.500 0.500 0.000


Entry x
# YBeS2N | Alexandria | GGA-PBE | relaxed
# Total magnetic moment = 2.20 μB per formula unit
data_YBeS2N
_symmetry_space_group_name_H-M 'P 1'
_symmetry_Int_Tables_number 1
_cell_length_a 5.272
_cell_length_b 5.272
_cell_length_c 4.397
_cell_angle_alpha 90.00
_cell_angle_beta 90.00
_cell_angle_gamma 90.00
loop_
_symmetry_equiv_pos_as_xyz
'x,y,z'
loop_
_atom_site_label
_atom_site_fract_x
_atom_site_fract_y
_atom_site_fract_z
Y1 0.000 0.000 0.000
Be1 0.500 0.500 0.500
S1 0.000 0.500 0.000
S2 0.500 0.000 0.000
N1 0.000 0.000 0.500


Which of them is least stable? Easy: entry x.


Entry w
# BeZnS2N | Alexandria | GGA-PBE | relaxed
# Total magnetic moment = 1.00 μB per formula unit
data_BeZnS2N
_symmetry_space_group_name_H-M 'P 1'
_symmetry_Int_Tables_number 1
_cell_length_a 4.766
_cell_length_b 4.766
_cell_length_c 3.094
_cell_angle_alpha 90.00
_cell_angle_beta 90.00
_cell_angle_gamma 90.00
loop_
_symmetry_equiv_pos_as_xyz
'x,y,z'
loop_
_atom_site_label
_atom_site_fract_x
_atom_site_fract_y
_atom_site_fract_z
Be1 0.000 0.000 0.000
Zn1 0.500 0.500 0.500
S1 0.000 0.500 0.000
S2 0.500 0.000 0.000
N1 0.000 0.000 0.500


Entry x
# BeZnS2N | Alexandria | GGA-PBE | relaxed
# Total magnetic moment = 2.17 μB per formula unit
data_BeZnS2N
_symmetry_space_group_name_H-M 'P 1'
_symmetry_Int_Tables_number 1
_cell_length_a 4.776
_cell_length_b 4.776
_cell_length_c 3.714
_cell_angle_alpha 90.00
_cell_angle_beta 90.00
_cell_angle_gamma 90.00
loop_
_symmetry_equiv_pos_as_xyz
'x,y,z'
loop_
_atom_site_label
_atom_site_fract_x
_atom_site_fract_y
_atom_site_fract_z
Be1 0.000 0.000 0.000
Zn1 0.500 0.500 0.500
S1 0.000 0.500 0.500
S2 0.500 0.000 0.500
N1 0.500 0.500 0.000


Which of them is least stable? Easy: entry x.


Entry w
# BeZnSN2 | Alexandria | GGA-PBE | relaxed
# Total magnetic moment = 2.69 μB per formula unit
data_BeZnSN2
_symmetry_space_group_name_H-M 'P 1'
_symmetry_Int_Tables_number 1
_cell_length_a 3.674
_cell_length_b 3.674
_cell_length_c 5.717
_cell_angle_alpha 90.00
_cell_angle_beta 90.00
_cell_angle_gamma 90.00
loop_
_symmetry_equiv_pos_as_xyz
'x,y,z'
loop_
_atom_site_label
_atom_site_fract_x
_atom_site_fract_y
_atom_site_fract_z
Be1 0.000 0.000 0.000
Zn1 0.500 0.500 0.500
S1 0.500 0.500 0.000
N1 0.000 0.500 0.500
N2 0.500 0.000 0.500


Entry x
# BeZnSN2 | Alexandria | GGA-PBE | relaxed
# Total magnetic moment = 0.00 μB per formula unit
data_BeZnSN2
_symmetry_space_group_name_H-M 'P 1'
_symmetry_Int_Tables_number 1
_cell_length_a 3.296
_cell_length_b 3.296
_cell_length_c 7.313
_cell_angle_alpha 90.00
_cell_angle_beta 90.00
_cell_angle_gamma 90.00
loop_
_symmetry_equiv_pos_as_xyz
'x,y,z'
loop_
_atom_site_label
_atom_site_fract_x
_atom_site_fract_y
_atom_site_fract_z
Be1 0.000 0.000 0.000
Zn1 0.500 0.500 0.500
S1 0.000 0.000 0.500
N1 0.000 0.500 0.000
N2 0.500 0.000 0.000


Which of them is least stable? Easy: entry w.


Entry w
# ZrBeS2N | Alexandria | GGA-PBE | relaxed
# Total magnetic moment = 0.95 μB per formula unit
data_ZrBeS2N
_symmetry_space_group_name_H-M 'P 1'
_symmetry_Int_Tables_number 1
_cell_length_a 5.061
_cell_length_b 5.061
_cell_length_c 4.076
_cell_angle_alpha 90.00
_cell_angle_beta 90.00
_cell_angle_gamma 90.00
loop_
_symmetry_equiv_pos_as_xyz
'x,y,z'
loop_
_atom_site_label
_atom_site_fract_x
_atom_site_fract_y
_atom_site_fract_z
Zr1 0.000 0.000 0.000
Be1 0.500 0.500 0.500
S1 0.000 0.500 0.000
S2 0.500 0.000 0.000
N1 0.000 0.000 0.500


Entry x
# ZrBeS2N | Alexandria | GGA-PBE | relaxed
# Total magnetic moment = 0.00 μB per formula unit
data_ZrBeS2N
_symmetry_space_group_name_H-M 'P 1'
_symmetry_Int_Tables_number 1
_cell_length_a 4.543
_cell_length_b 4.543
_cell_length_c 3.290
_cell_angle_alpha 90.00
_cell_angle_beta 90.00
_cell_angle_gamma 90.00
loop_
_symmetry_equiv_pos_as_xyz
'x,y,z'
loop_
_atom_site_label
_atom_site_fract_x
_atom_site_fract_y
_atom_site_fract_z
Zr1 0.000 0.000 0.000
Be1 0.500 0.500 0.500
S1 0.000 0.500 0.500
S2 0.500 0.000 0.500
N1 0.500 0.500 0.000


Which of them is least stable? Easy: entry w.